[1]
CaLa2ZnRh: relaxed, GGA-PBE.

a b c (Å): 5.5195 5.5195 5.1396
angles (deg): 90.00 90.00 90.00
Closest atoms and distances in Å follow each position.
Space group P4/mmm (No. 123)
Inequivalent atoms, fractional coordinates:
Ca1 0.0000 0.0000 0.0000 x1  8 La 3.77, 4 Zn 3.90
La1 0.0000 0.5000 0.5000 x2  2 Rh 2.76
Zn1 0.5000 0.5000 0.0000 x1  2 Rh 2.57
Rh1 0.5000 0.5000 0.5000 x1  2 Zn 2.57, 4 La 2.76

Properties
V	156.6	Å³ per cell
formation energy from the elements	-0.28	eV per atom
D(E_F)	3.291	states/eV/f.u.

[2]
K6Hg12Pd: relaxed, GGA-PBE.

a b c (Å): 13.7473 13.7473 11.8937
angles (deg): 90.00 90.00 120.00
Closest atoms and distances in Å follow each position.
Space group R-3 (No. 148, hexagonal axes)
Inequivalent atoms, fractional coordinates:
K1 0.0269 0.1907 0.2505 x18  9 Hg 3.45-3.86, 1 Pd 3.85
Hg1 0.0189 0.2157 0.9477 x18  3 Hg 3.05-3.10
Hg2 0.0422 0.2282 0.5484 x18  1 Pd 2.95, 3 Hg 3.05-3.11
Pd1 0.0000 0.0000 0.5000 x3  6 Hg 2.95

Properties
V	1946.6	Å³ per cell
formation energy from the elements	-0.19	eV per atom
D(E_F)	7.606	states/eV/f.u.

[3]
Sm8AsP5: relaxed, GGA-PBE.

a b c (Å): 8.7488 8.7488 8.7054
angles (deg): 90.00 90.00 90.00
Closest atoms and distances in Å follow each position.
Space group I-4 (No. 82)
Inequivalent atoms, fractional coordinates:
Sm1 0.0652 0.1792 0.1886 x8  4 P 2.85-3.18, 1 As 2.91
Sm2 0.0651 0.3138 0.5613 x8  3 P 2.84-2.85
As1 0.0000 0.5000 0.2500 x2  8 Sm 2.91-3.21
P1 0.0000 0.0000 0.5000 x2  8 Sm 2.85-3.18
P2 0.1271 0.2508 0.8755 x8  5 Sm 2.84-3.18

Properties
V	666.3	Å³ per cell
formation energy from the elements	-1.30	eV per atom
D(E_F)	12.239	states/eV/f.u.

[4]
Ce2HfPa: relaxed, GGA-PBE.

a b c (Å): 7.3642 7.3642 7.3642
angles (deg): 90.00 90.00 90.00
Closest atoms and distances in Å follow each position.
Space group Fm-3m (No. 225)
Inequivalent atoms, fractional coordinates:
Ce1 0.2500 0.2500 0.2500 x8  4 Hf 3.19, 4 Pa 3.19
Hf1 0.0000 0.0000 0.0000 x4  8 Ce 3.19
Pa1 0.0000 0.0000 0.5000 x4  8 Ce 3.19

Properties
V	399.4	Å³ per cell
energy above the most stable polymorph in this dataset	0.211	eV per atom
formation energy from the elements	0.31	eV per atom
D(E_F)	9.918	states/eV/f.u.

[5]
Pm2Sm3Dy4: relaxed, GGA-PBE.

a b c (Å): 16.7072 11.6702 6.0885
angles (deg): 90.00 96.77 90.00
Closest atoms and distances in Å follow each position.
Space group C2/c (No. 15)
Inequivalent atoms, fractional coordinates:
Pm1 0.1056 0.1149 0.2814 x8  3 Dy 3.37-3.57, 4 Sm 3.38-3.55, 1 Pm 3.51
Sm1 0.0000 0.1491 0.7500 x4  2 Dy 3.44, 6 Pm 3.52-3.55, 2 Sm 3.83
Sm2 0.1648 0.3485 0.5860 x8  1 Pm 3.38, 7 Dy 3.41-3.57
Dy1 0.0617 0.3911 0.0443 x8  3 Dy 3.28-3.43, 4 Sm 3.44-3.57, 1 Pm 3.57
Dy2 0.2318 0.1101 0.8737 x8  2 Pm 3.37-3.44, 4 Sm 3.41-3.56, 2 Dy 3.43-3.63

Properties
V	1178.8	Å³ per cell
energy above the most stable polymorph in this dataset	0.076	eV per atom
formation energy from the elements	0.09	eV per atom
D(E_F)	12.592	states/eV/f.u.

[6]
Tm5Al2Cd2: relaxed, GGA-PBE.

a b c (Å): 16.3380 7.6204 7.5697
angles (deg): 90.00 90.00 90.00
Closest atoms and distances in Å follow each position.
Space group Cmce (No. 64)
Inequivalent atoms, fractional coordinates:
Tm1 0.0000 0.0000 0.0000 x4  4 Al 3.01-3.04
Tm2 0.1307 0.1833 0.3223 x16  3 Al 3.02-3.17, 3 Cd 3.12-3.16
Al1 0.0000 0.1197 0.6207 x8  1 Al 2.58
Cd1 0.2189 0.0000 0.0000 x8  6 Tm 3.12-3.16

Properties
V	942.4	Å³ per cell
formation energy from the elements	-0.27	eV per atom
D(E_F)	6.329	states/eV/f.u.

[7]
Pr3RhS2: relaxed, GGA-PBE.

a b c (Å): 4.0508 5.8778 12.8130
angles (deg): 90.00 90.00 90.00
Closest atoms and distances in Å follow each position.
Space group Immm (No. 71)
Inequivalent atoms, fractional coordinates:
Pr1 0.0000 0.0000 0.0000 x2  2 Rh 2.94, 4 S 2.95
Pr2 0.0000 0.0000 0.3382 x4  2 Rh 2.90, 4 S 2.94-2.98
Rh1 0.0000 0.5000 0.0000 x2  6 Pr 2.90-2.94
S1 0.0000 0.5000 0.3322 x4  6 Pr 2.94-2.98

Properties
V	305.1	Å³ per cell
raw formation energy	-1488	meV per atom
D(E_F)	4.916	states/eV/f.u.

[8]
LiSi2Sb2: relaxed, GGA-PBE.

a b c (Å): 5.2920 5.2920 7.9913
angles (deg): 90.00 90.00 90.00
Closest atoms and distances in Å follow each position.
Space group I4/mmm (No. 139)
Inequivalent atoms, fractional coordinates:
Li1 0.0000 0.0000 0.0000 x2  2 Si 2.79
Si1 0.0000 0.0000 0.3497 x4  1 Si 2.40
Sb1 0.0000 0.5000 0.2500 x4  4 Si 2.76

Properties
V	223.8	Å³ per cell
raw formation energy	104	meV per atom
energy above the most stable polymorph in this dataset	0.000	eV per atom
D(E_F)	1.998	states/eV/f.u.

[9]
Co2HgBr: relaxed, GGA-PBE.

a b c (Å): 6.5374 6.5374 6.5374
angles (deg): 90.00 90.00 90.00
Closest atoms and distances in Å follow each position.
Space group F-43m (No. 216)
Inequivalent atoms, fractional coordinates:
Co1 0.0000 0.0000 0.0000 x4  4 Hg 2.83, 4 Co 2.83
Co2 0.2500 0.2500 0.2500 x4  4 Co 2.83, 4 Br 2.83
Hg1 0.2500 0.2500 0.7500 x4  4 Co 2.83, 4 Br 2.83
Br1 0.0000 0.0000 0.5000 x4  4 Hg 2.83, 4 Co 2.83

Properties
V	279.4	Å³ per cell
raw formation energy	1001	meV per atom
energy above the most stable polymorph in this dataset	0.659	eV per atom
D(E_F)	6.777	states/eV/f.u.

[10]
Pm2AlRu3: relaxed, GGA-PBE.

a b c (Å): 5.5220 5.5220 8.5562
angles (deg): 90.00 90.00 120.00
Closest atoms and distances in Å follow each position.
Space group P6_3/mmc (No. 194)
Inequivalent atoms, fractional coordinates:
Pm1 0.3333 0.6667 0.0668 x4  9 Ru 3.13-3.18, 4 Pm 3.14-3.39, 3 Al 3.24
Al1 0.0000 0.0000 0.0000 x2  6 Ru 2.68
Ru1 0.1690 0.3380 0.7500 x6  2 Al 2.68, 4 Ru 2.72-2.80

Properties
V	225.9	Å³ per cell
energy above the most stable polymorph in this dataset	0.016	eV per atom
formation energy from the elements	-0.34	eV per atom
D(E_F)	7.267	states/eV/f.u.

[11]
LaRu: relaxed, GGA-PBE.

a b c (Å): 4.0688 4.0688 6.8663
angles (deg): 90.00 90.00 90.00
Closest atoms and distances in Å follow each position.
Space group P4/nmm (No. 129, origin choice 2)
Inequivalent atoms, fractional coordinates:
La1 0.2500 0.2500 0.2357 x2  4 Ru 2.73
Ru1 0.2500 0.7500 0.5000 x2  4 La 2.73, 4 Ru 2.88

Properties
V	113.7	Å³ per cell
formation energy from the elements	0.16	eV per atom
D(E_F)	2.099	states/eV/f.u.

[12]
Pm2Zn12Ni3Pd: relaxed, GGA-PBE.

a b c (Å): 8.4346 8.4346 18.0834
angles (deg): 90.00 90.00 120.00
Closest atoms and distances in Å follow each position.
Space group R-3m (No. 166, hexagonal axes)
Inequivalent atoms, fractional coordinates:
Pm1 0.0000 0.0000 0.1041 x6  9 Zn 3.04-3.29
Zn1 0.0001 0.5001 0.1282 x18  1 Ni 2.32, 1 Pd 2.53
Zn2 0.0285 0.5142 0.3378 x18  2 Ni 2.34
Ni1 0.0000 0.5000 0.0000 x9  6 Zn 2.32-2.34
Pd1 0.0000 0.0000 0.5000 x3  6 Zn 2.53

Properties
V	1114.2	Å³ per cell
formation energy from the elements	0.17	eV per atom
D(E_F)	8.422	states/eV/f.u.

[13]
LiLaBRh2: relaxed, GGA-PBE.

a b c (Å): 4.2647 4.2647 4.3681
angles (deg): 90.00 90.00 90.00
Closest atoms and distances in Å follow each position.
Space group P4/mmm (No. 123)
Inequivalent atoms, fractional coordinates:
Li1 0.0000 0.0000 0.0000 x1  2 B 2.18
La1 0.5000 0.5000 0.0000 x1  4 Li 3.02, 8 Rh 3.05
B1 0.0000 0.0000 0.5000 x1  4 Rh 2.13, 2 Li 2.18
Rh1 0.0000 0.5000 0.5000 x2  2 B 2.13

Properties
V	79.4	Å³ per cell
energy above the most stable polymorph in this dataset	0.000	eV per atom
formation energy from the elements	-0.54	eV per atom
D(E_F)	0.751	states/eV/f.u.

[14]
BaSbAu4: relaxed, GGA-PBE.

a b c (Å): 5.3854 16.3714 7.2553
angles (deg): 90.00 90.00 90.00
Closest atoms and distances in Å follow each position.
Space group Cmcm (No. 63)
Inequivalent atoms, fractional coordinates:
Ba1 0.0000 0.1046 0.2500 x4  13 Au 3.57-3.67
Sb1 0.0000 0.3746 0.2500 x4  6 Au 2.70-2.78
Au1 0.0000 0.1139 0.7500 x4  2 Sb 2.70, 2 Au 2.97
Au2 0.0000 0.2744 0.5599 x8  4 Au 2.76-2.97, 1 Sb 2.78
Au3 0.0000 0.5000 0.0000 x4  2 Sb 2.74

Properties
V	639.7	Å³ per cell
raw formation energy	-365	meV per atom
energy above the most stable polymorph in this dataset	0.000	eV per atom
D(E_F)	1.532	states/eV/f.u.

[15]
PS2ICl: relaxed, GGA-PBE.

a b c (Å): 4.7585 4.7585 4.6795
angles (deg): 90.00 90.00 90.00
Closest atoms and distances in Å follow each position.
Space group P4/mmm (No. 123)
Inequivalent atoms, fractional coordinates:
P1 0.0000 0.0000 0.0000 x1  2 Cl 2.34, 4 S 2.38
S1 0.0000 0.5000 0.0000 x2  2 P 2.38
I1 0.5000 0.5000 0.5000 x1  8 S 3.34, 4 Cl 3.36
Cl1 0.0000 0.0000 0.5000 x1  2 P 2.34

Properties
V	106.0	Å³ per cell
raw formation energy	454	meV per atom
energy above the most stable polymorph in this dataset	0.000	eV per atom
D(E_F)	3.623	states/eV/f.u.

[16]
CsBiIr2: relaxed, GGA-PBE.

a b c (Å): 8.0025 8.0025 7.1804
angles (deg): 90.00 90.00 90.00
Closest atoms and distances in Å follow each position.
Space group I-42d (No. 122)
Inequivalent atoms, fractional coordinates:
Cs1 0.0000 0.0000 0.0000 x4  8 Ir 3.38-3.64, 2 Bi 3.59
Bi1 0.0000 0.0000 0.5000 x4  4 Ir 2.61
Ir1 0.1779 0.2500 0.6250 x8  2 Bi 2.61

Properties
V	459.8	Å³ per cell
formation energy from the elements	1.17	eV per atom
D(E_F)	1.663	states/eV/f.u.

[17]
Er5Tl2InRh2: relaxed, GGA-PBE.

a b c (Å): 11.9157 11.9157 3.5941
angles (deg): 90.00 90.00 90.00
Closest atoms and distances in Å follow each position.
Space group P4/mbm (No. 127)
Inequivalent atoms, fractional coordinates:
Er1 0.0000 0.5000 0.0000 x2  4 Rh 2.83
Er2 0.0782 0.2057 0.0000 x8  2 Rh 2.73
Tl1 0.1725 0.6725 0.5000 x4  3 Rh 3.34-3.63, 6 Er 3.42-3.49, 2 Tl 3.59
In1 0.0000 0.0000 0.5000 x2  8 Er 3.18
Rh1 0.1295 0.3705 0.5000 x4  6 Er 2.73-2.83

Properties
V	510.3	Å³ per cell
formation energy from the elements	-0.54	eV per atom
D(E_F)	4.509	states/eV/f.u.

[18]
CrTcBr2: relaxed, GGA-PBE.

a b c (Å): 15.3763 3.4464 3.9280
angles (deg): 90.00 95.34 90.00
Closest atoms and distances in Å follow each position.
Space group C2/m (No. 12)
Inequivalent atoms, fractional coordinates:
Cr1 0.0000 0.0000 0.0000 x2  4 Tc 2.61, 4 Br 2.81
Tc1 0.0000 0.5000 0.5000 x2  2 Br 2.53, 4 Cr 2.61
Br1 0.1392 0.5000 0.2050 x4  1 Tc 2.53, 2 Cr 2.81

Properties
V	207.3	Å³ per cell
raw formation energy	265	meV per atom
energy above the most stable polymorph in this dataset	0.202	eV per atom
D(E_F)	1.663	states/eV/f.u.

[19]
Sm3Al2Hg4: relaxed, GGA-PBE.

a b c (Å): 11.1645 4.8031 9.0693
angles (deg): 90.00 115.74 90.00
Closest atoms and distances in Å follow each position.
Space group C2/m (No. 12)
Inequivalent atoms, fractional coordinates:
Sm1 0.0000 0.0000 0.0000 x2  6 Hg 3.16-3.42, 4 Al 3.33
Sm2 0.1622 0.5000 0.6738 x4  8 Hg 3.18-3.48, 4 Al 3.27-3.37
Al1 0.1129 0.5000 0.2818 x4  3 Hg 2.73-2.75
Hg1 0.0851 0.0000 0.4103 x4  2 Al 2.75, 1 Hg 2.99
Hg2 0.1962 0.5000 0.0404 x4  1 Al 2.73, 2 Hg 2.92

Properties
V	438.1	Å³ per cell
formation energy from the elements	-0.45	eV per atom
D(E_F)	5.377	states/eV/f.u.